# K2RbSrS

Crystalline K2RbSrS at its relaxed geometry (PBE, the Alexandria database).

Cell and atoms, written as POSCAR:
```
K2RbSrS
1.0
6.7670 0.0000 0.0000
0.0000 6.7670 0.0000
0.0000 0.0000 7.5914
K Rb Sr S
2 1 1 1
direct
0.0000 0.5000 0.0000
0.5000 0.0000 0.0000
0.0000 0.0000 0.0000
0.0000 0.0000 0.5000
0.5000 0.5000 0.5000
```

Results
The calculation puts the total energy at -1.188 eV/atom. For the uncorrected formation energy, the calculation gives 0.607 eV per atom. The calculation puts the density at 1.354 Mg/m³.

***

# KRb2TaS4

Crystalline KRb2TaS4 at its relaxed geometry (PBE, the Alexandria database).

Cell and atoms, written as POSCAR:
```
KRb2TaS4
1.0
-3.8910 4.6129 6.2486
3.8910 -4.6129 6.2486
3.8910 4.6129 -6.2486
K Rb Ta S
2 4 2 8
direct
0.0000 0.0000 0.0000
0.5000 0.0000 0.5000
0.0000 0.5000 0.5000
0.5000 0.0000 0.0000
0.5000 0.5000 0.0000
0.5000 0.5000 0.5000
0.0000 0.0000 0.5000
0.0000 0.5000 0.0000
0.1842 0.2491 0.9351
0.1859 0.7509 0.4351
0.1913 0.1849 0.4935
0.1913 0.6978 0.0065
0.8087 0.3022 0.9935
0.8087 0.8151 0.5065
0.8141 0.2491 0.5649
0.8158 0.7509 0.0649
```

Results
The calculation puts the total energy at -4.959 eV/atom. For the uncorrected formation energy, the calculation gives -1.034 eV per atom. The calculation puts the density at 3.844 Mg/m³.

***

# K2RbTcS4

Crystalline K2RbTcS4 at its relaxed geometry (PBE, the Alexandria database).

Cell and atoms, written as POSCAR:
```
K2RbTcS4
1.0
-4.1033 4.1033 4.0333
4.1033 -4.1033 4.0333
4.1033 4.1033 -4.0333
K Rb Tc S
2 1 1 4
direct
0.0000 0.0000 0.0000
0.7500 0.2500 0.5000
0.5000 0.5000 0.0000
0.2500 0.7500 0.5000
0.2424 0.0576 0.4854
0.2430 0.7576 0.8152
0.5722 0.7570 0.5146
0.9424 0.4278 0.1848
```

Results
The calculation puts the total energy at -4.572 eV/atom. For the uncorrected formation energy, the calculation gives -0.817 eV per atom. The calculation puts the density at 2.384 Mg/m³.

***

What did the first record say?
# K2RbSrS

Crystalline K2RbSrS at its relaxed geometry (PBE, the Alexandria database).

Cell and atoms, written as POSCAR:
```
K2RbSrS
1.0
6.7670 0.0000 0.0000
0.0000 6.7670 0.0000
0.0000 0.0000 7.5914
K Rb Sr S
2 1 1 1
direct
0.0000 0.5000 0.0000
0.5000 0.0000 0.0000
0.0000 0.0000 0.0000
0.0000 0.0000 0.5000
0.5000 0.5000 0.5000
```

Results
The calculation puts the total energy at -1.188 eV/atom. For the uncorrected formation energy, the calculation gives 0.607 eV per atom. The calculation puts the density at 1.354 Mg/m³.

***

Number 3 is which compound? K2RbTcS4

***

Which formula does entry 1 have? K2RbSrS

***

The highest uncorrected formation energy belongs to which entry? K2RbSrS